(1)
Compound: La3In5
Source: Alexandria via LeMat-Bulk
Functional: GGA-PBE
Structure: relaxed

a = 6.724 Å, b = 6.724 Å, c = 10.701 Å
α = 90.00°, β = 90.00°, γ = 101.70°
Atoms (fractional coordinates):
In: 0.923 0.503 0.250
In: 0.305 0.305 0.948
In: 0.695 0.695 0.052
In: 0.012 0.012 0.750
In: 0.988 0.988 0.250
In: 0.503 0.923 0.250
In: 0.305 0.305 0.552
In: 0.695 0.695 0.448
In: 0.497 0.077 0.750
In: 0.077 0.497 0.750
La: 0.795 0.205 0.500
La: 0.370 0.370 0.250
La: 0.205 0.795 0.500
La: 0.205 0.795 0.000
La: 0.630 0.630 0.750
La: 0.795 0.205 0.000

uncorrected energy: -4.1001 eV/atom
SG: Cmcm (63)
M_tot: 0.0 μB/cell

(2)
Compound: La5In4
Source: Alexandria via LeMat-Bulk
Functional: GGA-PBE
Structure: relaxed

a = 7.775 Å, b = 7.775 Å, c = 7.775 Å
α = 95.97°, β = 95.97°, γ = 142.38°
Atoms (fractional coordinates):
La: 0.329 0.329 0.658
La: 0.671 0.329 0.000
La: 0.000 0.000 0.000
La: 0.671 0.671 0.342
La: 0.329 0.671 0.000
In: 0.000 0.661 0.661
In: 0.661 0.000 0.661
In: 0.000 0.339 0.339
In: 0.339 0.000 0.339

uncorrected energy: -4.2355 eV/atom
SG: I4/mmm (139)
M_tot: 0.0 μB/cell

(3)
Compound: La2In
Source: Alexandria via LeMat-Bulk
Functional: GGA-PBE
Structure: relaxed

a = 8.686 Å, b = 8.686 Å, c = 4.681 Å
α = 90.00°, β = 90.00°, γ = 120.00°
Atoms (fractional coordinates):
La: 0.592 0.000 0.500
La: 0.270 0.000 0.000
La: 0.730 0.730 0.000
La: 0.000 0.270 0.000
La: 0.408 0.408 0.500
La: 0.000 0.592 0.500
In: 0.000 0.000 0.500
In: 0.333 0.667 0.000
In: 0.667 0.333 0.000

uncorrected energy: -4.5391 eV/atom
SG: P-62m (189)
M_tot: 0.0 μB/cell

(4)
Compound: LaIn6
Source: Alexandria via LeMat-Bulk
Functional: GGA-PBE
Structure: relaxed

a = 6.848 Å, b = 6.848 Å, c = 6.848 Å
α = 109.47°, β = 109.47°, γ = 109.47°
Each line ends with the local moment (μB).
Atoms (fractional coordinates):
La: 0.000 0.000 0.000  0.21
In: 0.750 0.250 0.500  0.00
In: 0.750 0.500 0.250  0.00
In: 0.250 0.500 0.750  0.00
In: 0.500 0.250 0.750  0.00
In: 0.250 0.750 0.500  0.00
In: 0.500 0.750 0.250  0.00

uncorrected energy: -2.7751 eV/atom
SG: Im-3m (229)
M_tot: 0.2 μB/cell

(5)
Compound: La3In2
Source: Alexandria via LeMat-Bulk
Functional: GGA-PBE
Structure: relaxed

a = 5.447 Å, b = 5.447 Å, c = 6.769 Å
α = 90.00°, β = 90.00°, γ = 120.00°
Atoms (fractional coordinates):
La: 0.333 0.667 0.354
La: 0.000 0.000 0.000
La: 0.667 0.333 0.646
In: 0.667 0.333 0.158
In: 0.333 0.667 0.842

uncorrected energy: -4.3378 eV/atom
SG: P-3m1 (164)
M_tot: 0.0 μB/cell

(6)
Compound: La2In
Source: Alexandria via LeMat-Bulk
Functional: GGA-PBE
Structure: relaxed

a = 12.533 Å, b = 12.533 Å, c = 12.533 Å
α = 163.14°, β = 158.92°, γ = 27.11°
Each line ends with the local moment (μB).
Atoms (fractional coordinates):
La: 0.065 0.815 0.250  0.20
La: 0.935 0.185 0.750  0.20
La: 0.799 0.049 0.750  0.04
La: 0.201 0.951 0.250  0.04
In: 0.363 0.613 0.750  0.00
In: 0.637 0.387 0.250  0.00

uncorrected energy: -4.3802 eV/atom
SG: Imma (74)
M_tot: 1.0 μB/cell